Entry from Alexandria: Rb3Sm2InSe6 after structural relaxation (GGA-PBE).

extended XYZ file:
```
12
Lattice="7.404 -0.002 -0.001 -3.702 6.412 -0.001 -1.236 -2.140 8.034" Properties=species:S:1:pos:R:3 pbc="T T T"
Rb -2.448 4.261 4.016
Rb 4.914 0.009 4.016
Rb 1.233 2.135 4.016
Sm 0.004 4.272 -0.001
Sm 3.699 2.138 -0.001
In 0.000 0.000 0.000
Se 3.663 2.198 6.456
Se 2.505 4.337 1.582
Se -1.197 2.072 1.575
Se 0.073 4.272 6.456
Se -0.038 -0.067 6.449
Se 2.393 -0.001 1.575
```

Output
SG: C2/m (12)

Entry from Alexandria: Rb2InSnSe4 after structural relaxation (GGA-PBE).

extended XYZ file:
```
16
Lattice="-4.844 -3.637 3.143 2.167 -2.849 7.452 -6.623 8.112 6.589" Properties=species:S:1:pos:R:3 pbc="T T T"
Rb -5.087 4.481 4.755
Rb -6.380 -0.006 4.978
Rb -7.397 3.535 11.212
Rb -4.325 -3.727 7.543
In -5.861 -0.096 9.378
In 0.000 0.000 0.000
Sn -3.439 1.722 7.806
Sn -2.422 -1.819 1.571
Se -0.404 -2.332 7.577
Se -6.334 5.882 7.944
Se -8.605 1.531 14.654
Se -3.257 -1.829 4.192
Se -3.290 -0.613 9.252
Se -6.150 2.133 8.023
Se -6.555 -0.001 11.907
Se -2.604 1.732 5.186
```

Output
SG: Fddd (70)

no.,spin magnetization (μB per formula unit),formation energy without anion corrections (eV per formula unit)
1,0.0,-16.9
2,0.4,-6.0